## CuSiAs2 (GGA-PBE)

Data for a relaxed structure of CuSiAs2.

Energy above the most stable polymorph in this dataset in meV per atom: 452.0
Total magnetic moment in μB/f.u.: 0.00
E in eV per atom: -4.263

a = 6.3960 Å, b = 6.3960 Å, c = 6.3960 Å
α = 90.00°, β = 90.00°, γ = 90.00°
Last column: nearest neighbours and their distance in Å.
Space group Fm-3m (No. 225)
Asymmetric unit:
Cu  0.0000  0.0000  0.0000  8 As 2.77
Si  0.0000  0.0000  0.5000  8 As 2.77
As  0.2500  0.2500  0.2500  4 Cu 2.77, 4 Si 2.77

## CuSiAs (GGA-PBE)

Data for a relaxed structure of CuSiAs.

Energy above the most stable polymorph in this dataset in meV per atom: 251.9
Total magnetic moment in μB/f.u.: 0.00
E in eV per atom: -4.391

a = 2.7572 Å, b = 2.7572 Å, c = 7.5154 Å
α = 90.00°, β = 90.00°, γ = 120.00°
Last column: nearest neighbours and their distance in Å.
Space group P3m1 (No. 156)
Asymmetric unit:
Cu  0.0000  0.0000  0.0000  3 Si 2.57, 3 As 2.68, 6 Cu 2.76
Si  0.6667  0.3333  0.2688  3 Cu 2.57, 6 Si 2.76
As  0.3333  0.6667  0.7137  3 Cu 2.68, 6 As 2.76